Material: La3Hg5
Method: DFT, meta-GGA SCAN
State: PBEsol geometry

Calculated values
magnetization: 0.000 μB per atom
E: -59.43 eV/atom
formation energy from the elements: -0.662 eV/atom

a b c (Å): 7.6362 10.6623 5.2919
angles (deg): 90.00 90.00 90.00
Last column: nearest neighbours and their distance in Å.
Space group Cmmm (No. 65)
Unique sites:
1 La 0.0000 0.0000 0.0000 [2 per cell]  8 Hg 3.09-3.28
2 La 0.0000 0.2934 0.5000 [4 per cell]  8 Hg 3.13-3.44
3 Hg 0.0000 0.5000 0.0000 [2 per cell]  8 Hg 3.28-3.45, 4 La 3.44
4 Hg 0.2092 0.0000 0.5000 [4 per cell]  4 La 3.09-3.13, 3 Hg 3.20-3.45
5 Hg 0.2500 0.2500 0.0000 [4 per cell]  2 Hg 3.28, 6 La 3.28-3.30